## P
DFT (PBE) results for a geometry-optimized AcNiRh structure.

Unit cell a=5.3112 b=5.6678 c=7.6277 alpha=90.00 beta=90.00 gamma=90.00
Sites, in units of the cell vectors:
Ac 0.0000 0.2500 0.1197
Ac 0.0000 0.7500 0.8803
Ac 0.5000 0.2500 0.3803
Ac 0.5000 0.7500 0.6197
Ni 0.2500 0.2500 0.7500
Ni 0.2500 0.7500 0.2500
Ni 0.7500 0.2500 0.7500
Ni 0.7500 0.7500 0.2500
Rh 0.0000 0.0000 0.5000
Rh 0.0000 0.5000 0.5000
Rh 0.5000 0.0000 0.0000
Rh 0.5000 0.5000 0.0000

## Properties
Total magnetization in μB/f.u.: 0.00
Calculated density in Mg/m³: 11.2

***

## Q
DFT (PBE) results for a geometry-optimized AcNiRh structure.

Unit cell a=4.2569 b=4.2569 c=8.3921 alpha=90.00 beta=90.00 gamma=120.00
Sites, in units of the cell vectors:
Ac 0.0000 0.0000 0.0000
Ac 0.0000 0.0000 0.5000
Ni 0.3333 0.6667 0.2500
Ni 0.6667 0.3333 0.7500
Rh 0.3333 0.6667 0.7500
Rh 0.6667 0.3333 0.2500

## Properties
Total magnetization in μB/f.u.: 0.00
Calculated density in Mg/m³: 9.8

***

## R
DFT (PBE) results for a geometry-optimized AcNiRh structure.

Unit cell a=3.5768 b=3.5768 c=9.6989 alpha=90.00 beta=90.00 gamma=90.00
Sites, in units of the cell vectors:
Ac 0.0000 0.0000 0.0000
Ac 0.5000 0.5000 0.5000
Ni 0.0000 0.0000 0.7137
Ni 0.5000 0.5000 0.2137
Rh 0.0000 0.0000 0.2906
Rh 0.5000 0.5000 0.7906

## Properties
Total magnetization in μB/f.u.: 0.00
Calculated density in Mg/m³: 10.4

***

## S
DFT (PBE) results for a geometry-optimized AcNiRh structure.

Unit cell a=4.2547 b=4.2547 c=4.2050 alpha=90.00 beta=90.00 gamma=120.00
Sites, in units of the cell vectors:
Ac 0.0000 0.0000 0.0000
Ni 0.3333 0.6667 0.5000
Rh 0.6667 0.3333 0.5000

## Properties
Total magnetization in μB/f.u.: 0.00
Calculated density in Mg/m³: 9.8

***

Most stable structure: Q

***

## P
DFT (PBE) results for a geometry-optimized Ac2NiRh2 structure.

Unit cell a=4.3647 b=5.9186 c=8.8582 alpha=90.00 beta=90.00 gamma=90.00
Sites, in units of the cell vectors:
Ac 0.0000 0.0000 0.1984
Ac 0.0000 0.0000 0.8016
Ac 0.5000 0.5000 0.3016
Ac 0.5000 0.5000 0.6984
Ni 0.0000 0.5000 0.0000
Ni 0.5000 0.0000 0.5000
Rh 0.0000 0.2418 0.5000
Rh 0.0000 0.7582 0.5000
Rh 0.5000 0.2582 0.0000
Rh 0.5000 0.7418 0.0000

## Properties
Total magnetization in μB/f.u.: 0.00
Calculated density in Mg/m³: 10.4

***

## Q
DFT (PBE) results for a geometry-optimized Ac2NiRh2 structure.

Unit cell a=7.5469 b=7.5469 c=4.1038 alpha=90.00 beta=90.00 gamma=90.00
Sites, in units of the cell vectors:
Ac 0.1790 0.3210 0.0000
Ac 0.3210 0.8210 0.0000
Ac 0.6790 0.1790 0.0000
Ac 0.8210 0.6790 0.0000
Ni 0.0000 0.0000 0.5000
Ni 0.5000 0.5000 0.5000
Rh 0.1322 0.6322 0.5000
Rh 0.3678 0.1322 0.5000
Rh 0.6322 0.8678 0.5000
Rh 0.8678 0.3678 0.5000

## Properties
Total magnetization in μB/f.u.: 0.00
Calculated density in Mg/m³: 10.2

***

Most stable structure: P

***

## P
DFT (PBE) results for a geometry-optimized AcSmNiRh structure.

Unit cell a=4.2259 b=4.0240 c=11.2379 alpha=90.00 beta=90.00 gamma=90.00
Sites, in units of the cell vectors:
Ac 0.0000 0.0000 0.0000
Ac 0.0000 0.5000 0.5000
Sm 0.5000 0.0000 0.7244
Sm 0.5000 0.5000 0.2244
Ni 0.5000 0.0000 0.4313
Ni 0.5000 0.5000 0.9313
Rh 0.0000 0.0000 0.2750
Rh 0.0000 0.5000 0.7750

## Properties
Total magnetization in μB/f.u.: 0.00
Calculated density in Mg/m³: 9.4

***

## Q
DFT (PBE) results for a geometry-optimized AcSmNiRh structure.

Unit cell a=7.1845 b=7.1845 c=7.1845 alpha=90.00 beta=90.00 gamma=90.00
Sites, in units of the cell vectors:
Ac 0.0000 0.0000 0.0000
Ac 0.0000 0.5000 0.5000
Ac 0.5000 0.0000 0.5000
Ac 0.5000 0.5000 0.0000
Sm 0.0000 0.0000 0.5000
Sm 0.0000 0.5000 0.0000
Sm 0.5000 0.0000 0.0000
Sm 0.5000 0.5000 0.5000
Ni 0.2500 0.2500 0.7500
Ni 0.2500 0.7500 0.2500
Ni 0.7500 0.2500 0.2500
Ni 0.7500 0.7500 0.7500
Rh 0.2500 0.2500 0.2500
Rh 0.2500 0.7500 0.7500
Rh 0.7500 0.2500 0.7500
Rh 0.7500 0.7500 0.2500

## Properties
Total magnetization in μB/f.u.: 0.00
Calculated density in Mg/m³: 9.7

***

Most stable structure: P